[1]
{"formula": "ZnAs", "functional": "PBE", "state": "optimized geometry", "lattice_angstrom": [[-5.264, 0.637, -5.777], [-1.880, -5.281, 2.078], [-3.107, 2.320, 3.087]], "species": ["As", "As", "As", "As", "As", "As", "Zn", "Zn", "Zn", "Zn", "Zn", "Zn"], "fractional_positions": [[0.257, 0.150, 0.000], [0.827, 0.429, 0.000], [0.269, 0.560, 0.000], [0.953, 0.496, 0.500], [0.395, 0.627, 0.500], [0.965, 0.906, 0.500], [0.914, 0.010, 0.000], [0.577, 0.114, 0.000], [0.600, 0.692, 0.000], [0.308, 0.047, 0.500], [0.622, 0.363, 0.500], [0.645, 0.941, 0.500]]}

[2]
{"formula": "ZnAs", "functional": "PBE", "state": "optimized geometry", "lattice_angstrom": [[5.122, 0.000, 0.000], [0.000, 2.734, 0.000], [0.000, 0.000, 5.096]], "species": ["As", "As", "Zn", "Zn"], "fractional_positions": [[0.432, 0.500, 0.000], [0.901, 0.500, 0.500], [0.940, 0.000, 0.000], [0.393, 0.000, 0.500]]}

Number 1: DFT total energy -5.82 eV/f.u., calculated density 6.06 g/cm³. Number 2: DFT total energy -5.49 eV/f.u., calculated density 6.53 g/cm³.